This record from Alexandria via LeMat-Bulk describes crystalline BeNiHgPd2 at its relaxed geometry. The functional is GGA-PBE.

**V**: 14.92 Å³ per atom
**E_tot**: -4.041 eV per atom
**Density**: 10.71 g/cm³

a b c (Å): 4.2658 4.2658 4.1003
angles (deg): 90.00 90.00 90.00
With the nearest neighbours (Å) after each atom.
Element x y z (fractional)
Be 0.0000 0.0000 0.0000  2 Ni 2.05, 4 Pd 2.13
Ni 0.0000 0.0000 0.5000  2 Be 2.05
Hg 0.5000 0.5000 0.5000  8 Pd 2.96, 4 Ni 3.02
Pd 0.0000 0.5000 0.0000  2 Be 2.13
Pd 0.5000 0.0000 0.0000  2 Be 2.13

=====

This record from Alexandria via LeMat-Bulk describes crystalline CaMoRh2 at its relaxed geometry. The functional is GGA-PBE.

**V**: 16.93 Å³ per atom
**Density**: 8.38 g/cm³
**E above lowest polymorph**: 97 kJ/mol of formula units

a b c (Å): 4.5755 4.5755 4.5755
angles (deg): 60.00 60.00 60.00
With the nearest neighbours (Å) after each atom.
Element x y z (fractional)
Ca 0.0000 0.0000 0.0000  8 Rh 2.80
Mo 0.5000 0.5000 0.5000  8 Rh 2.80
Rh 0.2500 0.2500 0.2500  4 Mo 2.80, 4 Ca 2.80
Rh 0.7500 0.7500 0.7500  4 Mo 2.80, 4 Ca 2.80

=====

This record from Alexandria via LeMat-Bulk describes crystalline Sc2SnCl2 at its relaxed geometry. The functional is GGA-PBE.

**V**: 21.11 Å³ per atom
**Energy relative to the elements, uncorrected**: -0.8029 eV/atom
**Density**: 4.40 g/cm³
**E above lowest polymorph**: 72 kJ/mol of formula units

a b c (Å): 8.2814 8.2814 3.0782
angles (deg): 90.00 90.00 90.00
With the nearest neighbours (Å) after each atom.
Element x y z (fractional)
Sc 0.1845 0.3155 0.0000  6 Cl 2.74-3.01
Sc 0.3155 0.8155 0.0000  6 Cl 2.74-3.01
Sc 0.6845 0.1845 0.0000  6 Cl 2.74-3.01
Sc 0.8155 0.6845 0.0000  6 Cl 2.74-3.01
Sn 0.0000 0.0000 0.5000  2 Sn 3.08, 4 Cl 3.29, 8 Sc 3.40
Sn 0.5000 0.5000 0.5000  2 Sn 3.08, 4 Cl 3.29, 8 Sc 3.40
Cl 0.1215 0.6215 0.5000  6 Sc 2.74-3.01, 1 Cl 2.85
Cl 0.3785 0.1215 0.5000  6 Sc 2.74-3.01, 1 Cl 2.85
Cl 0.6215 0.8785 0.5000  6 Sc 2.74-3.01, 1 Cl 2.85
Cl 0.8785 0.3785 0.5000  6 Sc 2.74-3.01, 1 Cl 2.85

=====

This record from Alexandria via LeMat-Bulk describes crystalline TaOs3 at its relaxed geometry. The functional is GGA-PBE.

**V**: 15.21 Å³ per atom
**E_tot**: -11.483 eV per atom
**Density**: 20.51 g/cm³

a b c (Å): 4.4610 5.5673 4.9003
angles (deg): 90.00 90.00 90.00
With the nearest neighbours (Å) after each atom.
Element x y z (fractional)
Ta 0.2500 0.2500 0.1470  12 Os 2.74-2.87
Ta 0.7500 0.7500 0.8530  12 Os 2.74-2.87
Os 0.2500 0.5030 0.6565  8 Os 2.71-2.90, 4 Ta 2.79-2.87
Os 0.2500 0.7500 0.1764  8 Os 2.73-2.90, 4 Ta 2.74-2.79
Os 0.2500 0.9970 0.6565  8 Os 2.71-2.90, 4 Ta 2.79-2.87
Os 0.7500 0.0030 0.3435  8 Os 2.71-2.90, 4 Ta 2.79-2.87
Os 0.7500 0.2500 0.8236  8 Os 2.73-2.90, 4 Ta 2.74-2.79
Os 0.7500 0.4970 0.3435  8 Os 2.71-2.90, 4 Ta 2.79-2.87